Entry 1:
Compound: SbRuI2Cl
Source: the Alexandria database
Functional: PBE
Structure: optimized geometry

Structure (POSCAR):
```
SbRuI2Cl
1.0
-3.298 4.330 -0.007
-2.818 -2.140 4.136
3.068 2.342 3.302
I Sb Cl Ru
2 1 1 1
Direct
0.000 0.500 0.000
0.500 0.000 0.000
0.000 0.000 0.500
0.500 0.500 0.500
0.000 0.000 0.000
```

Output
* offset from the most stable computed form: 0.000 eV per atom
* formation energy without anion corrections: 0.3163 eV per atom


Entry 2:
Compound: HoBeRh2
Source: the Alexandria database
Functional: PBE
Structure: optimized geometry

Structure (POSCAR):
```
HoBeRh2
1.0
-2.822 -0.389 -1.975
2.430 -1.184 -3.239
-0.312 -4.022 1.237
Be Rh Ho
1 2 1
Direct
0.500 0.000 0.000
0.000 0.000 0.500
0.000 0.500 0.000
0.500 0.500 0.500
```

Output
* formation energy from the elements: -52.8 kJ per mole of atoms


Entry 3:
Compound: Be2HAu
Source: the Alexandria database
Functional: PBE
Structure: optimized geometry

Structure (POSCAR):
```
Be2HAu
1.0
-0.647 -0.133 -3.904
-3.383 -1.512 -1.395
-3.044 3.110 -1.609
Be Au H
2 1 1
Direct
0.118 0.118 0.646
0.882 0.882 0.354
0.500 0.500 0.500
0.000 0.000 0.000
```

Output
* offset from the most stable computed form: 0.044 eV per atom


Entry 4:
Compound: SmHoH2
Source: the Alexandria database
Functional: PBE
Structure: optimized geometry

Structure (POSCAR):
```
SmHoH2
1.0
3.531 0.000 0.000
1.766 3.058 0.000
1.766 1.019 5.891
Sm Ho H
1 1 2
Direct
0.672 0.672 0.984
0.492 0.492 0.523
0.086 0.086 0.743
0.250 0.250 0.250
```

Output
* offset from the most stable computed form: 0.076 eV per atom


The evaluated D(E_F) for the records listed, in turn: 1.3877 0.5228 0.3196 0.3848 states/eV per atom.